Record 1
A relaxed structure of PrAlP. Source: Alexandria, functional PBE-GGA.

Computed properties:
calculated total energy: -5.421 eV per atom
space group: No. 166
spin magnetization: 0.000 μB/atom
V: 156.7 Å³ per cell

Lattice parameters (Å, degrees): 4.835 4.835 8.230 72.92 72.92 60.00
Element x y z (fractional)
Al 0.178 0.178 0.465
Al 0.822 0.822 0.535
Pr 0.406 0.406 0.782
P 0.281 0.281 0.157
P 0.719 0.719 0.843
Pr 0.594 0.594 0.218



Record 2
A relaxed structure of Y2Be. Source: Alexandria, functional PBE-GGA.

Computed properties:
calculated total energy: -5.465 eV per atom
excess energy over the best structure of this formula in the dataset: 8.5 kJ/mol of formula units
space group: No. 12
spin magnetization: 0.169 μB/atom
V: 149.0 Å³ per cell

Lattice parameters (Å, degrees): 6.578 6.578 8.361 53.39 53.39 31.65
Site moments in Bohr magnetons follow the coordinates.
Element x y z (fractional)
Y 0.833 0.833 0.576  0.12
Y 0.167 0.167 0.424  0.12
Y 0.408 0.408 0.875  0.11
Y 0.592 0.592 0.125  0.11
Be 0.900 0.900 0.159  0.01
Be 0.100 0.100 0.841  0.01



Record 3
A relaxed structure of Th2Sc2In3. Source: Alexandria, functional PBE-GGA.

Computed properties:
calculated total energy: -5.334 eV per atom
space group: No. 65
spin magnetization: 0.042 μB/atom
V: 183.5 Å³ per cell

Lattice parameters (Å, degrees): 4.677 3.295 12.132 90.00 78.89 90.00
Site moments in Bohr magnetons follow the coordinates.
Element x y z (fractional)
Sc 0.290 0.500 0.419  0.11
Sc 0.710 0.500 0.581  0.11
In 0.837 0.000 0.326  0.00
Th 0.424 0.500 0.152  0.00
In 0.000 0.000 0.000  0.00
Th 0.576 0.500 0.848  0.00
In 0.163 0.000 0.674  0.00



- Number 1 is which compound?
  PrAlP